Record 1
Material: CeCd2TeO6
Method: DFT, PBE-GGA
State: optimized geometry

abc: 6.244 6.244 4.445
angles: 90.00 90.00 90.00
Space group P4mm (No. 99)
Symmetry-distinct sites (fractional):
Ce1 0.000 0.000 0.000 [1 per cell]
Cd1 0.000 0.500 0.283 [2 per cell]
Te1 0.500 0.500 0.025 [1 per cell]
O1 0.000 0.000 0.533 [1 per cell]
O2 0.256 0.256 0.092 [4 per cell]
O3 0.500 0.500 0.602 [1 per cell]

formation energy from raw total energies	-1.45	eV per atom

---

Record 2
Material: Pr2ThAl
Method: DFT, PBE-GGA
State: optimized geometry

abc: 7.812 7.812 7.812
angles: 90.00 90.00 90.00
Space group Fm-3m (No. 225)
Symmetry-distinct sites (fractional):
Pr1 0.250 0.250 0.250 [8 per cell]
Th1 0.000 0.000 0.000 [4 per cell]
Al1 0.000 0.000 0.500 [4 per cell]

excess energy over the best structure of this formula in the dataset	200	meV/atom
energy of formation	0.3	eV per formula unit

---

Record 3
Material: Tb4CoNi3
Method: DFT, PBE-GGA
State: optimized geometry

abc: 3.778 4.089 10.425
angles: 90.00 90.00 90.00
Space group Pmm2 (No. 25)
Symmetry-distinct sites (fractional):
Tb1 0.000 0.000 0.000 [1 per cell]
Tb2 0.000 0.500 0.278 [1 per cell]
Tb3 0.500 0.000 0.494 [1 per cell]
Tb4 0.500 0.500 0.777 [1 per cell]
Co1 0.500 0.000 0.207 [1 per cell]
Ni1 0.000 0.000 0.709 [1 per cell]
Ni2 0.000 0.500 0.568 [1 per cell]
Ni3 0.500 0.500 0.068 [1 per cell]

energy of formation	-2.9	eV per formula unit

---

Record 4
Material: TlCd2Pb4
Method: DFT, PBE-GGA
State: optimized geometry

abc: 5.730 20.728 3.503
angles: 90.00 90.00 90.00
Space group Cmmm (No. 65)
Symmetry-distinct sites (fractional):
Tl1 0.000 0.000 0.000 [2 per cell]
Cd1 0.000 0.431 0.500 [4 per cell]
Pb1 0.000 0.148 0.500 [4 per cell]
Pb2 0.000 0.295 0.000 [4 per cell]

excess energy over the best structure of this formula in the dataset	0	meV/atom
energy of formation	0.3	eV per formula unit

---

Record 5
Material: AgSn2Se4
Method: DFT, PBE-GGA
State: optimized geometry

abc: 3.991 13.075 13.504
angles: 90.00 90.00 90.00
Space group Cmcm (No. 63)
Symmetry-distinct sites (fractional):
Ag1 0.000 0.094 0.250 [4 per cell]
Sn1 0.000 0.362 0.070 [8 per cell]
Se1 0.000 0.000 0.000 [4 per cell]
Se2 0.000 0.275 0.624 [8 per cell]
Se3 0.000 0.460 0.250 [4 per cell]

formation energy from raw total energies	-0.23	eV per atom

---

Record 6
Material: CdSn
Method: DFT, PBE-GGA
State: optimized geometry

abc: 7.619 7.619 5.022
angles: 90.00 90.00 90.00
Space group P4_2/mnm (No. 136)
Symmetry-distinct sites (fractional):
Cd1 0.248 0.248 0.000 [4 per cell]
Sn1 0.133 0.867 0.000 [4 per cell]

energy of formation	0.5	eV per formula unit

---

Record 7
Material: PmNdNiRu
Method: DFT, PBE-GGA
State: optimized geometry

abc: 6.995 6.995 6.995
angles: 90.00 90.00 90.00
Space group F-43m (No. 216)
Symmetry-distinct sites (fractional):
Pm1 0.000 0.000 0.000 [4 per cell]
Nd1 0.000 0.000 0.500 [4 per cell]
Ni1 0.250 0.250 0.250 [4 per cell]
Ru1 0.250 0.250 0.750 [4 per cell]

excess energy over the best structure of this formula in the dataset	57	meV/atom
energy of formation	-0.8	eV per formula unit

---

Record 8
Material: CeGa4Pd
Method: DFT, PBE-GGA
State: optimized geometry

abc: 5.023 5.023 20.861
angles: 90.00 90.00 90.00
Space group I4_1/amd (No. 141, origin choice 2)
Symmetry-distinct sites (fractional):
Ce1 0.000 0.250 0.375 [4 per cell]
Ga1 0.000 0.005 0.226 [16 per cell]
Pd1 0.000 0.250 0.875 [4 per cell]

energy of formation	-1.4	eV per formula unit

---

no.,uncorrected energy (eV/atom),magnetization (μB/f.u.)
1,-5.515,0.0
2,-5.107,0.0
3,-5.737,0.0
4,-2.680,0.0
5,-3.777,0.0
6,-2.206,0.0
7,-6.338,0.0
8,-4.099,0.9